No. 1
The following is a PBE calculation of Fe3Ir5 after structural relaxation, from the Alexandria database.

## Properties
The space-group type is Cmcm (63). Its crystal system is orthorhombic. As for the volume: 225.9 Å³/cell.

abc: 7.2323 7.2323 4.9923
angles: 90.00 90.00 59.91
With the nearest neighbours (Å) after each atom.
Element x y z (fractional)
Fe 0.0794 0.9206 0.7500  7 Ir 2.50-2.63, 2 Fe 2.75
Fe 0.0799 0.4998 0.2500  7 Ir 2.50-2.64, 2 Fe 2.75
Fe 0.4998 0.0799 0.7500  7 Ir 2.50-2.64, 2 Fe 2.75
Fe 0.5002 0.9201 0.2500  7 Ir 2.50-2.64, 2 Fe 2.75
Fe 0.9201 0.5002 0.7500  7 Ir 2.50-2.64, 2 Fe 2.75
Fe 0.9206 0.0794 0.2500  7 Ir 2.50-2.63, 2 Fe 2.75
Ir 0.1664 0.1664 0.0000  2 Ir 2.50, 6 Fe 2.50
Ir 0.1664 0.1664 0.5000  2 Ir 2.50, 6 Fe 2.50
Ir 0.2846 0.5004 0.7500  5 Fe 2.63-2.90, 6 Ir 2.69-2.94
Ir 0.2851 0.7149 0.2500  5 Fe 2.63-2.90, 6 Ir 2.69-2.94
Ir 0.5004 0.2846 0.2500  5 Fe 2.63-2.90, 6 Ir 2.69-2.94
Ir 0.4996 0.7154 0.7500  5 Fe 2.63-2.90, 6 Ir 2.69-2.94
Ir 0.7149 0.2851 0.7500  5 Fe 2.63-2.90, 6 Ir 2.69-2.94
Ir 0.7154 0.4996 0.2500  5 Fe 2.63-2.90, 6 Ir 2.69-2.94
Ir 0.8336 0.8336 0.0000  2 Ir 2.50, 6 Fe 2.50
Ir 0.8336 0.8336 0.5000  2 Ir 2.50, 6 Fe 2.50

---

No. 2
The following is a PBE calculation of CsCd3Sn after structural relaxation, from the Alexandria database.

## Properties
The space-group type is Pm-3m (221). For the offset from the most stable computed form, the calculation gives 161 meV/atom. Its crystal system is cubic. As for the volume: 205.5 Å³/cell.

abc: 5.9014 5.9014 5.9014
angles: 90.00 90.00 90.00
With the nearest neighbours (Å) after each atom.
Element x y z (fractional)
Cs 0.0000 0.0000 0.0000  12 Cd 4.17
Cd 0.0000 0.5000 0.5000  2 Sn 2.95
Cd 0.5000 0.0000 0.5000  2 Sn 2.95
Cd 0.5000 0.5000 0.0000  2 Sn 2.95
Sn 0.5000 0.5000 0.5000  6 Cd 2.95

---

no.,energy (eV per atom),DFT formation energy (kcal/mol of atoms)
1,-8.38,7.63
2,-1.41,2.47